1.
! PmBePd6 PBE optimized geometry; values from VASP
! - DOS at the Fermi energy: 2.9 states/eV/cell
! - Crystal system: trigonal
! - Total energy: -5.28 eV/atom
! - Formation enthalpy at 0 K: -327 meV/atom
&SYSTEM
  ibrav = 0, nat = 8, ntyp = 3
/
ATOMIC_SPECIES
Be 9.01 Be.upf
Pd 106.42 Pd.upf
Pm 145.00 Pm.upf
CELL_PARAMETERS angstrom
-1.982 -3.231 3.985
5.334 0.877 1.018
-2.603 4.838 0.282
ATOMIC_POSITIONS crystal
Be 0.500 0.500 0.500
Pd 0.760 0.321 0.760
Pd 0.321 0.760 0.760
Pd 0.240 0.240 0.679
Pd 0.760 0.760 0.321
Pd 0.240 0.679 0.240
Pd 0.679 0.240 0.240
Pm 0.000 0.000 0.000

=====

2.
! PmYCoCu PBE optimized geometry; values from VASP
! - DOS at the Fermi energy: 3.5 states/eV/cell
! - Offset from the most stable computed form: 49 meV per atom
! - Crystal system: cubic
! - Total energy: -5.72 eV/atom
! - Formation enthalpy at 0 K: -120 meV/atom
&SYSTEM
  ibrav = 0, nat = 4, ntyp = 4
/
ATOMIC_SPECIES
Co 58.93 Co.upf
Pm 145.00 Pm.upf
Cu 63.55 Cu.upf
Y 88.91 Y.upf
CELL_PARAMETERS angstrom
4.890 0.000 0.000
2.445 4.235 0.000
2.445 1.412 3.993
ATOMIC_POSITIONS crystal
Co 0.000 0.000 0.000
Pm 0.250 0.250 0.250
Cu 0.500 0.500 0.500
Y 0.750 0.750 0.750

=====

3.
! RbNdInS3 PBE optimized geometry; values from VASP
! - DOS at the Fermi energy: 1.9 states/eV/cell
! - Crystal system: monoclinic
! - Total energy: -4.70 eV/atom
&SYSTEM
  ibrav = 0, nat = 12, ntyp = 4
/
ATOMIC_SPECIES
S 32.06 S.upf
Rb 85.47 Rb.upf
Nd 144.24 Nd.upf
In 114.82 In.upf
CELL_PARAMETERS angstrom
4.595 0.000 0.000
0.000 8.836 -0.254
0.000 -2.605 9.682
ATOMIC_POSITIONS crystal
S 0.250 0.777 0.452
S 0.250 0.117 0.850
S 0.250 0.534 0.853
S 0.750 0.883 0.150
S 0.750 0.223 0.548
S 0.750 0.466 0.147
Rb 0.250 0.210 0.228
Rb 0.750 0.790 0.772
Nd 0.750 0.336 0.863
Nd 0.250 0.664 0.137
In 0.750 0.886 0.406
In 0.250 0.114 0.594

=====

4.
! AsPd4Pb PBE optimized geometry; values from VASP
! - DOS at the Fermi energy: 5.5 states/eV/cell
! - Offset from the most stable computed form: 79 meV per atom
! - Crystal system: monoclinic
! - Total energy: -5.08 eV/atom
! - Formation enthalpy at 0 K: -229 meV/atom
&SYSTEM
  ibrav = 0, nat = 12, ntyp = 3
/
ATOMIC_SPECIES
As 74.92 As.upf
Pd 106.42 Pd.upf
Pb 207.20 Pb.upf
CELL_PARAMETERS angstrom
-3.181 -5.521 -0.492
0.459 -0.737 5.294
-3.967 5.896 0.987
ATOMIC_POSITIONS crystal
As 0.500 0.000 0.500
As 0.000 0.500 0.500
Pd 0.543 0.876 0.194
Pd 0.652 0.376 0.194
Pd 0.457 0.124 0.806
Pd 0.080 0.099 0.358
Pd 0.722 0.401 0.642
Pd 0.348 0.624 0.806
Pd 0.920 0.901 0.642
Pd 0.278 0.599 0.358
Pb 0.832 0.750 0.000
Pb 0.168 0.250 0.000

=====

5.
! CsRb2NpBr6 PBE optimized geometry; values from VASP
! - DOS at the Fermi energy: 10.2 states/eV/cell
! - Crystal system: monoclinic
! - Total energy: -4.20 eV/atom
&SYSTEM
  ibrav = 0, nat = 20, ntyp = 4
/
ATOMIC_SPECIES
Br 79.90 Br.upf
Cs 132.91 Cs.upf
Rb 85.47 Rb.upf
Np 237.00 Np.upf
CELL_PARAMETERS angstrom
8.312 0.000 -0.060
0.000 8.893 0.000
-0.014 0.000 12.010
ATOMIC_POSITIONS crystal
Br 0.224 0.175 0.430
Br 0.724 0.325 0.930
Br 0.656 0.273 0.580
Br 0.276 0.675 0.070
Br 0.141 0.436 0.784
Br 0.641 0.064 0.284
Br 0.844 0.773 0.920
Br 0.776 0.825 0.570
Br 0.359 0.936 0.716
Br 0.156 0.227 0.080
Br 0.344 0.727 0.420
Br 0.859 0.564 0.216
Cs 0.500 0.000 0.000
Cs 0.000 0.500 0.500
Rb 0.031 0.922 0.249
Rb 0.531 0.578 0.749
Rb 0.969 0.078 0.751
Rb 0.469 0.422 0.251
Np 0.500 0.000 0.500
Np 0.000 0.500 0.000

=====

6.
! SmErO3 PBE optimized geometry; values from VASP
! - DOS at the Fermi energy: 0.0 states/eV/cell
! - Crystal system: hexagonal
! - Total energy: -8.16 eV/atom
&SYSTEM
  ibrav = 0, nat = 5, ntyp = 3
/
ATOMIC_SPECIES
O 16.00 O.upf
Er 167.26 Er.upf
Sm 150.36 Sm.upf
CELL_PARAMETERS angstrom
-2.727 0.902 1.121
1.784 -1.507 5.552
2.773 4.061 3.478
ATOMIC_POSITIONS crystal
O 0.720 0.270 0.234
O 0.720 0.757 0.233
O 0.720 0.271 0.720
Er 0.220 0.433 0.396
Sm 0.220 0.099 0.062

=====

7.
! Be2CuSi PBE optimized geometry; values from VASP
! - DOS at the Fermi energy: 0.8 states/eV/cell
! - Crystal system: orthorhombic
! - Total energy: -4.10 eV/atom
&SYSTEM
  ibrav = 0, nat = 4, ntyp = 3
/
ATOMIC_SPECIES
Be 9.01 Be.upf
Si 28.09 Si.upf
Cu 63.55 Cu.upf
CELL_PARAMETERS angstrom
-1.991 -1.631 1.026
1.313 0.360 3.119
-2.655 3.676 0.693
ATOMIC_POSITIONS crystal
Be 0.500 0.500 0.248
Be 0.000 0.000 0.001
Si 0.500 0.500 0.760
Cu 0.000 0.000 0.490

=====

8.
! NdGa3Au5 PBE optimized geometry; values from VASP
! - DOS at the Fermi energy: 6.1 states/eV/cell
! - Crystal system: orthorhombic
! - Total energy: -3.74 eV/atom
! - Formation enthalpy at 0 K: -384 meV/atom
&SYSTEM
  ibrav = 0, nat = 18, ntyp = 3
/
ATOMIC_SPECIES
Nd 144.24 Nd.upf
Au 196.97 Au.upf
Ga 69.72 Ga.upf
CELL_PARAMETERS angstrom
-2.560 -3.138 0.672
2.879 -1.002 -6.248
10.135 -7.026 5.796
ATOMIC_POSITIONS crystal
Nd 0.185 0.370 0.250
Nd 0.815 0.630 0.750
Au 0.521 0.041 0.147
Au 0.479 0.959 0.647
Au 0.000 0.000 0.000
Au 0.521 0.041 0.353
Au 0.479 0.959 0.853
Au 0.799 0.597 0.117
Au 0.201 0.403 0.883
Au 0.000 0.000 0.500
Au 0.201 0.403 0.617
Au 0.799 0.597 0.383
Ga 0.354 0.709 0.496
Ga 0.062 0.123 0.750
Ga 0.646 0.291 0.996
Ga 0.938 0.877 0.250
Ga 0.354 0.709 0.004
Ga 0.646 0.291 0.504

=====

9.
! TlAg2Cl2F PBE optimized geometry; values from VASP
! - DOS at the Fermi energy: 0.0 states/eV/cell
! - Crystal system: monoclinic
! - Total energy: -3.05 eV/atom
&SYSTEM
  ibrav = 0, nat = 12, ntyp = 4
/
ATOMIC_SPECIES
F 19.00 F.upf
Ag 107.87 Ag.upf
Cl 35.45 Cl.upf
Tl 204.38 Tl.upf
CELL_PARAMETERS angstrom
-2.286 5.264 -1.551
-1.051 -2.568 -7.168
-6.086 -1.326 4.470
ATOMIC_POSITIONS crystal
F 0.750 0.933 0.067
F 0.250 0.067 0.933
Ag 0.500 0.203 0.205
Ag 0.500 0.797 0.795
Ag 0.000 0.203 0.205
Ag 0.000 0.797 0.795
Cl 0.250 0.130 0.432
Cl 0.750 0.430 0.132
Cl 0.250 0.570 0.868
Cl 0.750 0.870 0.568
Tl 0.750 0.305 0.696
Tl 0.250 0.695 0.304

=====

10.
! MgSc4Co PBE optimized geometry; values from VASP
! - DOS at the Fermi energy: 13.5 states/eV/cell
! - Offset from the most stable computed form: 67 meV per atom
! - Crystal system: triclinic
! - Total energy: -5.75 eV/atom
! - Formation enthalpy at 0 K: -83 meV/atom
&SYSTEM
  ibrav = 0, nat = 12, ntyp = 3
/
ATOMIC_SPECIES
Sc 44.96 Sc.upf
Mg 24.30 Mg.upf
Co 58.93 Co.upf
CELL_PARAMETERS angstrom
5.891 0.004 -0.001
0.005 6.156 0.359
-2.951 -2.115 7.022
ATOMIC_POSITIONS crystal
Sc 0.507 0.135 0.201
Sc 0.493 0.865 0.799
Sc 0.914 0.886 0.626
Sc 0.308 0.365 0.798
Sc 0.086 0.114 0.374
Sc 0.712 0.386 0.625
Sc 0.288 0.614 0.375
Sc 0.692 0.635 0.202
Mg 0.077 0.750 0.000
Mg 0.923 0.250 0.000
Co 0.000 0.500 0.500
Co 0.500 0.000 0.500

=====

11.
! LiEr2H PBE optimized geometry; values from VASP
! - DOS at the Fermi energy: 3.1 states/eV/cell
! - Crystal system: trigonal
! - Total energy: -3.62 eV/atom
&SYSTEM
  ibrav = 0, nat = 4, ntyp = 3
/
ATOMIC_SPECIES
Er 167.26 Er.upf
Li 6.94 Li.upf
H 1.01 H.upf
CELL_PARAMETERS angstrom
3.439 0.000 0.000
1.719 2.978 0.000
1.719 0.993 8.877
ATOMIC_POSITIONS crystal
Er 0.117 0.117 0.648
Er 0.883 0.883 0.352
Li 0.000 0.000 0.000
H 0.500 0.500 0.500

=====

12.
! AcTb2Dy4 PBE optimized geometry; values from VASP
! - DOS at the Fermi energy: 21.3 states/eV/cell
! - Offset from the most stable computed form: 15 meV per atom
! - Crystal system: triclinic
! - Total energy: -4.49 eV/atom
! - Formation enthalpy at 0 K: 51 meV/atom
&SYSTEM
  ibrav = 0, nat = 14, ntyp = 3
/
ATOMIC_SPECIES
Dy 162.50 Dy.upf
Ac 227.00 Ac.upf
Tb 158.93 Tb.upf
CELL_PARAMETERS angstrom
-6.773 1.268 -1.957
-0.951 -6.718 5.456
2.179 7.716 3.935
ATOMIC_POSITIONS crystal
Dy 0.945 0.836 0.183
Dy 0.025 0.562 0.777
Dy 0.334 0.239 0.315
Dy 0.828 0.242 0.317
Dy 0.425 0.019 0.908
Dy 0.528 0.562 0.773
Dy 0.307 0.414 0.037
Dy 0.625 0.132 0.602
Ac 0.917 0.003 0.893
Ac 0.223 0.679 0.454
Tb 0.444 0.835 0.171
Tb 0.716 0.670 0.431
Tb 0.132 0.143 0.606
Tb 0.800 0.414 0.033

=====

13.
! KCu2Mo PBE optimized geometry; values from VASP
! - DOS at the Fermi energy: 3.0 states/eV/cell
! - Offset from the most stable computed form: 216 meV per atom
! - Crystal system: monoclinic
! - Total energy: -4.24 eV/atom
! - Formation enthalpy at 0 K: 789 meV/atom
&SYSTEM
  ibrav = 0, nat = 4, ntyp = 3
/
ATOMIC_SPECIES
Cu 63.55 Cu.upf
Mo 95.94 Mo.upf
K 39.10 K.upf
CELL_PARAMETERS angstrom
-7.391 2.378 0.708
2.060 -4.544 -1.436
-1.071 -1.131 2.054
ATOMIC_POSITIONS crystal
Cu 0.500 0.000 0.500
Cu 0.000 0.000 0.000
Mo 0.500 0.500 0.000
K 0.000 0.500 0.500

=====

14.
! RbSnF3 PBE optimized geometry; values from VASP
! - DOS at the Fermi energy: 0.0 states/eV/cell
! - Crystal system: tetragonal
! - Total energy: -4.31 eV/atom
&SYSTEM
  ibrav = 0, nat = 10, ntyp = 3
/
ATOMIC_SPECIES
Sn 118.71 Sn.upf
F 19.00 F.upf
Rb 85.47 Rb.upf
CELL_PARAMETERS angstrom
5.175 0.000 0.000
0.000 5.175 0.000
2.588 2.588 8.200
ATOMIC_POSITIONS crystal
Sn 0.250 0.750 0.500
Sn 0.000 0.000 0.000
F 0.275 0.275 0.451
F 0.108 0.365 0.784
F 0.108 0.851 0.784
F 0.149 0.892 0.216
F 0.725 0.725 0.549
F 0.635 0.892 0.216
Rb 0.851 0.351 0.297
Rb 0.649 0.149 0.703

=====

15.
! CsSrAg3 PBE optimized geometry; values from VASP
! - DOS at the Fermi energy: 0.0 states/eV/cell
! - Offset from the most stable computed form: 0 meV per atom
! - Crystal system: cubic
! - Total energy: -1.96 eV/atom
! - Formation enthalpy at 0 K: 259 meV/atom
&SYSTEM
  ibrav = 0, nat = 5, ntyp = 3
/
ATOMIC_SPECIES
Ag 107.87 Ag.upf
Sr 87.62 Sr.upf
Cs 132.91 Cs.upf
CELL_PARAMETERS angstrom
-2.415 0.399 -5.669
-4.224 -4.246 1.501
-3.801 4.465 1.933
ATOMIC_POSITIONS crystal
Ag 0.500 0.000 0.000
Ag 0.000 0.500 0.000
Ag 0.000 0.000 0.500
Sr 0.000 0.000 0.000
Cs 0.500 0.500 0.500

=====

16.
! Pr5Co19B6 PBE optimized geometry; values from VASP
! - DOS at the Fermi energy: 32.4 states/eV/cell
! - Crystal system: hexagonal
! - Total energy: -6.86 eV/atom
! - Formation enthalpy at 0 K: -228 meV/atom
&SYSTEM
  ibrav = 0, nat = 30, ntyp = 3
/
ATOMIC_SPECIES
Co 58.93 Co.upf
B 10.81 B.upf
Pr 140.91 Pr.upf
CELL_PARAMETERS angstrom
-2.930 3.457 2.415
2.855 -3.292 2.717
12.577 10.773 -0.163
ATOMIC_POSITIONS crystal
Co 0.000 0.500 0.586
Co 0.500 0.000 0.174
Co 0.333 0.667 0.706
Co 0.333 0.667 0.294
Co 0.500 0.500 0.586
Co 0.500 0.000 0.414
Co 0.000 0.500 0.000
Co 0.500 0.500 0.174
Co 0.000 0.500 0.174
Co 0.500 0.000 0.826
Co 0.667 0.333 0.294
Co 0.500 0.500 0.826
Co 0.500 0.500 0.000
Co 0.500 0.000 0.000
Co 0.000 0.500 0.826
Co 0.500 0.500 0.414
Co 0.500 0.000 0.586
Co 0.000 0.500 0.414
Co 0.667 0.333 0.706
B 0.333 0.667 0.088
B 0.333 0.667 0.500
B 0.667 0.333 0.500
B 0.667 0.333 0.088
B 0.667 0.333 0.912
B 0.333 0.667 0.912
Pr 0.000 0.000 0.705
Pr 0.000 0.000 0.295
Pr 0.000 0.000 0.906
Pr 0.000 0.000 0.094
Pr 0.000 0.000 0.500

=====

17.
! Rb2TlSb2Pb PBE optimized geometry; values from VASP
! - DOS at the Fermi energy: 4.3 states/eV/cell
! - Crystal system: orthorhombic
! - Total energy: -2.99 eV/atom
&SYSTEM
  ibrav = 0, nat = 12, ntyp = 4
/
ATOMIC_SPECIES
Sb 121.76 Sb.upf
Tl 204.38 Tl.upf
Pb 207.20 Pb.upf
Rb 85.47 Rb.upf
CELL_PARAMETERS angstrom
7.869 0.000 0.000
0.000 7.827 0.000
-3.934 -3.914 8.112
ATOMIC_POSITIONS crystal
Sb 0.649 0.402 0.805
Sb 0.156 0.902 0.805
Sb 0.844 0.098 0.195
Sb 0.351 0.598 0.195
Tl 0.000 0.250 0.000
Tl 0.000 0.750 0.000
Pb 0.500 0.250 0.000
Pb 0.500 0.750 0.000
Rb 0.929 0.668 0.335
Rb 0.594 0.832 0.665
Rb 0.071 0.332 0.665
Rb 0.406 0.168 0.335

=====

18.
! TbPrHg PBE optimized geometry; values from VASP
! - DOS at the Fermi energy: 3.7 states/eV/cell
! - Offset from the most stable computed form: 27 meV per atom
! - Crystal system: tetragonal
! - Total energy: -3.54 eV/atom
! - Formation enthalpy at 0 K: -306 meV/atom
&SYSTEM
  ibrav = 0, nat = 3, ntyp = 3
/
ATOMIC_SPECIES
Tb 158.93 Tb.upf
Pr 140.91 Pr.upf
Hg 200.59 Hg.upf
CELL_PARAMETERS angstrom
-0.367 -3.538 -1.101
0.099 -1.115 3.552
-6.286 2.882 -0.871
ATOMIC_POSITIONS crystal
Tb 0.315 0.315 0.631
Pr 0.009 0.009 0.018
Hg 0.676 0.676 0.351

=====

19.
! MgNbSb3 PBE optimized geometry; values from VASP
! - DOS at the Fermi energy: 9.5 states/eV/cell
! - Offset from the most stable computed form: 835 meV per atom
! - Crystal system: cubic
! - Total energy: -3.65 eV/atom
&SYSTEM
  ibrav = 0, nat = 5, ntyp = 3
/
ATOMIC_SPECIES
Mg 24.30 Mg.upf
Sb 121.76 Sb.upf
Nb 92.91 Nb.upf
CELL_PARAMETERS angstrom
5.212 0.000 0.000
0.000 5.212 0.000
0.000 0.000 5.212
ATOMIC_POSITIONS crystal
Mg 0.000 0.000 0.000
Sb 0.000 0.000 0.500
Sb 0.500 0.000 0.000
Sb 0.000 0.500 0.000
Nb 0.500 0.500 0.500

=====

20.
! HfMg6BO7 PBE optimized geometry; values from VASP
! - DOS at the Fermi energy: 3.2 states/eV/cell
! - Offset from the most stable computed form: 149 meV per atom
! - Crystal system: tetragonal
! - Total energy: -5.98 eV/atom
&SYSTEM
  ibrav = 0, nat = 15, ntyp = 4
/
ATOMIC_SPECIES
Mg 24.30 Mg.upf
O 16.00 O.upf
Hf 178.49 Hf.upf
B 10.81 B.upf
CELL_PARAMETERS angstrom
4.297 0.000 0.000
0.000 4.297 0.000
0.000 0.000 8.886
ATOMIC_POSITIONS crystal
Mg 0.500 0.000 0.226
Mg 0.500 0.500 0.494
Mg 0.000 0.500 0.226
Mg 0.500 0.500 0.999
Mg 0.000 0.500 0.770
Mg 0.500 0.000 0.770
O 0.500 0.000 0.501
O 0.500 0.500 0.749
O 0.500 0.500 0.248
O 0.000 0.000 0.727
O 0.000 0.500 0.501
O 0.000 0.500 0.999
O 0.500 0.000 0.999
Hf 0.000 0.000 0.492
B 0.000 0.000 0.046

=====

21.
! NaSn2HgSe4 PBE optimized geometry; values from VASP
! - DOS at the Fermi energy: 4.0 states/eV/cell
! - Crystal system: monoclinic
! - Total energy: -3.41 eV/atom
&SYSTEM
  ibrav = 0, nat = 8, ntyp = 4
/
ATOMIC_SPECIES
Se 78.96 Se.upf
Sn 118.71 Sn.upf
Hg 200.59 Hg.upf
Na 22.99 Na.upf
CELL_PARAMETERS angstrom
-2.525 -2.662 1.858
2.787 -5.473 -4.053
5.582 -2.893 3.441
ATOMIC_POSITIONS crystal
Se 0.000 0.755 0.748
Se 0.500 0.759 0.251
Se 0.000 0.245 0.252
Se 0.500 0.241 0.749
Sn 0.000 0.000 0.000
Sn 0.500 0.000 0.500
Hg 0.500 0.500 0.000
Na 0.000 0.500 0.500

=====

Size of the total moment in μB/atom, matching the order above: 0.0000, 0.0982, 0.0000, 0.0000, 0.4000, 0.0000, 0.0000, 0.0000, 0.0000, 0.0003, 0.0000, 0.0000, 0.0000, 0.0000, 0.0000, 0.4279, 0.0000, 0.1695, 0.0007, 0.0715, 0.0000